A relaxed Rb2MgTl10 crystal, computed with PBE-GGA.

## Properties
- Formation energy from the elements: 20 meV per atom
- Calculated density: 7.19 g cm⁻³
- SG: Pbam, No. 55

Lattice parameters (Å, degrees): 7.1778 13.3415 10.7939 90.00 90.00 90.00
With the nearest neighbours (Å) after each atom.
Sites, in units of the cell vectors:
Tl1 0.0000 0.9351 0.7356  1 Mg 2.98, 5 Tl 3.13-3.26
Tl2 0.2733 0.1840 0.0783  4 Tl 3.23-3.35, 1 Mg 3.25
Tl3 0.0000 0.1959 0.8271  5 Tl 3.20-3.40, 1 Mg 3.21
Tl4 0.2733 0.3160 0.5783  4 Tl 3.23-3.35, 1 Mg 3.25
Tl5 0.0000 0.6959 0.6729  5 Tl 3.20-3.40, 1 Mg 3.21
Tl6 0.0000 0.6209 0.9541  7 Tl 3.13-3.40
Tl7 0.0000 0.8041 0.1729  5 Tl 3.20-3.40, 1 Mg 3.21
Tl8 0.0000 0.5649 0.2356  1 Mg 2.98, 5 Tl 3.13-3.26
Tl9 0.0000 0.0649 0.2644  1 Mg 2.98, 5 Tl 3.13-3.26
Tl10 0.0000 0.4351 0.7644  1 Mg 2.98, 5 Tl 3.13-3.26
Tl11 0.7267 0.8160 0.9217  4 Tl 3.23-3.35, 1 Mg 3.25
Tl12 0.0000 0.8791 0.4541  7 Tl 3.13-3.40
Tl13 0.7267 0.3160 0.5783  4 Tl 3.23-3.35, 1 Mg 3.25
Tl14 0.0000 0.3791 0.0459  7 Tl 3.13-3.40
Tl15 0.7267 0.6840 0.4217  4 Tl 3.23-3.35, 1 Mg 3.25
Tl16 0.7267 0.1840 0.0783  4 Tl 3.23-3.35, 1 Mg 3.25
Tl17 0.0000 0.1209 0.5459  7 Tl 3.13-3.40
Tl18 0.0000 0.3041 0.3271  5 Tl 3.20-3.40, 1 Mg 3.21
Tl19 0.2733 0.6840 0.4217  4 Tl 3.23-3.35, 1 Mg 3.25
Tl20 0.2733 0.8160 0.9217  4 Tl 3.23-3.35, 1 Mg 3.25
Rb1 0.5000 0.0664 0.7450  12 Tl 3.99-4.25
Rb2 0.5000 0.5664 0.7550  12 Tl 3.99-4.25
Rb3 0.5000 0.4336 0.2450  12 Tl 3.99-4.25
Rb4 0.5000 0.9336 0.2550  12 Tl 3.99-4.25
Mg1 0.0000 0.5000 0.5000  8 Tl 2.98-3.25
Mg2 0.0000 0.0000 0.0000  8 Tl 2.98-3.25